# 1
This record from Alexandria describes ZrW after structural relaxation. The functional is PBE.

Computed properties:
formation energy from the elements	13.8	kJ per mole of atoms
Fermi-level density of states	4.61	states/eV/cell
calculated density	12.27	g cm⁻³
space group	No. 227

Geometry as POSCAR:
```
ZrW
1.0
4.722 -0.027 -0.019
2.386 4.075 -0.019
2.386 1.359 3.842
W Zr
2 2
Direct
0.125 0.125 0.125
0.875 0.875 0.875
0.375 0.375 0.375
0.625 0.625 0.625
```

# 2
This record from Alexandria describes TiMn2TlW after structural relaxation. The functional is PBE.

Computed properties:
formation energy from the elements	130.0	kJ per mole of atoms
Fermi-level density of states	4.83	states/eV/cell
calculated density	9.43	g cm⁻³
space group	No. 123

Geometry as POSCAR:
```
TiMn2TlW
1.0
-1.998 1.221 -3.845
-1.585 -4.429 -0.583
-3.743 1.041 2.276
W Mn Tl Ti
1 2 1 1
Direct
0.000 0.500 0.000
0.000 0.000 0.500
0.500 0.000 0.000
0.500 0.500 0.500
0.000 0.000 0.000
```

# 3
This record from Alexandria describes Th3PaSn5 after structural relaxation. The functional is PBE.

Computed properties:
formation energy from the elements	-48.7	kJ per mole of atoms
Fermi-level density of states	15.19	states/eV/cell
calculated density	9.91	g cm⁻³
space group	No. 193

Geometry as POSCAR:
```
Th3PaSn5
1.0
-4.395 -2.790 3.587
1.873 -8.443 -4.272
4.845 2.570 7.935
Sn Th Pa
10 6 2
Direct
0.750 0.719 0.000
0.250 0.719 0.719
0.750 0.281 0.281
0.000 0.667 0.333
0.000 0.333 0.667
0.250 0.000 0.281
0.500 0.333 0.667
0.250 0.281 0.000
0.500 0.667 0.333
0.750 0.000 0.719
0.750 0.000 0.382
0.250 0.382 0.382
0.750 0.382 0.000
0.250 0.000 0.618
0.750 0.618 0.618
0.250 0.618 0.000
0.000 0.000 0.000
0.500 0.000 0.000
```

# 4
This record from Alexandria describes AlSb2Te2BrCl4 after structural relaxation. The functional is PBE.

Computed properties:
ΔE_f (raw)	-0.85	eV/atom
calculated density	3.95	g cm⁻³
space group	No. 15

Geometry as POSCAR:
```
AlSb2Te2BrCl4
1.0
11.749 0.030 -0.083
8.708 7.888 -0.083
1.916 0.741 13.591
Cl Sb Te Br Al
16 8 8 4 4
Direct
0.948 0.712 0.284
0.462 0.141 0.585
0.807 0.544 0.214
0.288 0.052 0.216
0.544 0.807 0.714
0.715 0.878 0.077
0.538 0.859 0.415
0.859 0.538 0.915
0.122 0.285 0.423
0.712 0.948 0.784
0.878 0.715 0.577
0.456 0.193 0.286
0.193 0.456 0.786
0.141 0.462 0.085
0.285 0.122 0.923
0.052 0.288 0.716
0.314 0.571 0.108
0.429 0.686 0.392
0.816 0.058 0.107
0.942 0.184 0.393
0.686 0.429 0.892
0.571 0.314 0.608
0.184 0.942 0.893
0.058 0.816 0.607
0.452 0.698 0.036
0.548 0.302 0.964
0.196 0.943 0.541
0.698 0.452 0.536
0.057 0.804 0.959
0.943 0.196 0.041
0.302 0.548 0.464
0.804 0.057 0.459
0.376 0.624 0.750
0.624 0.376 0.250
0.125 0.875 0.250
0.875 0.125 0.750
0.101 0.353 0.831
0.899 0.647 0.169
0.647 0.899 0.669
0.353 0.101 0.331
```

# 5
This record from Alexandria describes TmAgHgCl6 after structural relaxation. The functional is PBE.

Computed properties:
ΔE_f (raw)	-1.27	eV/atom
Fermi-level density of states	0.00	states/eV/cell
calculated density	4.71	g cm⁻³
space group	No. 163

Geometry as POSCAR:
```
TmAgHgCl6
1.0
-1.938 -4.786 -4.360
4.019 -1.589 5.196
-9.879 -2.315 6.933
Cl Hg Tm Ag
12 2 2 2
Direct
0.648 0.660 0.628
0.012 0.352 0.628
0.988 0.340 0.128
0.012 0.660 0.872
0.660 0.648 0.128
0.988 0.648 0.372
0.340 0.352 0.872
0.660 0.012 0.372
0.340 0.988 0.628
0.352 0.012 0.128
0.648 0.988 0.872
0.352 0.340 0.372
0.333 0.667 0.250
0.667 0.333 0.750
0.667 0.333 0.250
0.333 0.667 0.750
0.000 0.000 0.500
0.000 0.000 0.000
```

# 6
This record from Alexandria describes Hf2In2Cl after structural relaxation. The functional is PBE.

Computed properties:
ΔE_f (raw)	-0.24	eV/atom
Fermi-level density of states	11.68	states/eV/cell
calculated density	9.30	g cm⁻³
space group	No. 127

Geometry as POSCAR:
```
Hf2In2Cl
1.0
-6.330 -1.918 1.516
1.946 -1.409 6.346
-1.051 4.517 1.325
In Hf Cl
4 4 2
Direct
0.656 0.844 0.500
0.156 0.656 0.500
0.844 0.344 0.500
0.344 0.156 0.500
0.653 0.153 0.000
0.347 0.847 0.000
0.847 0.653 0.000
0.153 0.347 0.000
0.000 0.000 0.000
0.500 0.500 0.000
```

# 7
This record from Alexandria describes NdEr2Sb after structural relaxation. The functional is PBE.

Computed properties:
ΔE_f (raw)	-0.46	eV/atom
Fermi-level density of states	4.36	states/eV/cell
energy above the most stable polymorph in this dataset	94	meV/atom
calculated density	8.57	g cm⁻³
space group	No. 123

Geometry as POSCAR:
```
NdEr2Sb
1.0
3.961 0.000 0.000
0.000 3.961 0.000
0.000 0.000 7.414
Nd Er Sb
1 2 1
Direct
0.500 0.500 0.000
0.000 0.000 0.717
0.000 0.000 0.283
0.500 0.500 0.500
```

# 8
This record from Alexandria describes HOsSe2 after structural relaxation. The functional is PBE.

Computed properties:
Fermi-level density of states	1.40	states/eV/cell
energy above the most stable polymorph in this dataset	439	meV/atom
calculated density	10.50	g cm⁻³
space group	No. 225

Geometry as POSCAR:
```
HOsSe2
1.0
0.000 3.022 3.022
3.022 0.000 3.022
3.022 3.022 0.000
Se Os H
2 1 1
Direct
0.750 0.750 0.750
0.250 0.250 0.250
0.500 0.500 0.500
0.000 0.000 0.000
```

# 9
This record from Alexandria describes Li3ZnO after structural relaxation. The functional is PBE.

Computed properties:
ΔE_f (raw)	0.34	eV/atom
Fermi-level density of states	1.61	states/eV/cell
energy above the most stable polymorph in this dataset	1260	meV/atom
calculated density	1.79	g cm⁻³
space group	No. 221

Geometry as POSCAR:
```
Li3ZnO
1.0
4.564 0.000 0.000
0.000 4.564 0.000
0.000 0.000 4.564
Li O Zn
3 1 1
Direct
0.500 0.000 0.000
0.000 0.000 0.500
0.000 0.500 0.000
0.500 0.500 0.500
0.000 0.000 0.000
```

# 10
This record from Alexandria describes BeRh5 after structural relaxation. The functional is PBE.

Computed properties:
formation energy from the elements	55.8	kJ per mole of atoms
Fermi-level density of states	10.12	states/eV/cell
energy above the most stable polymorph in this dataset	756	meV/atom
calculated density	9.09	g cm⁻³
space group	No. 191

Geometry as POSCAR:
```
BeRh5
1.0
-3.796 -1.686 2.727
3.701 -3.063 -1.269
2.194 1.103 3.736
Rh Be
5 1
Direct
0.667 0.333 0.000
0.333 0.667 0.000
0.500 0.500 0.500
0.000 0.500 0.500
0.500 0.000 0.500
0.000 0.000 0.000
```

# 11
This record from Alexandria describes CrCoH4 after structural relaxation. The functional is PBE.

Computed properties:
Fermi-level density of states	2.23	states/eV/cell
energy above the most stable polymorph in this dataset	0	meV/atom
calculated density	5.48	g cm⁻³
space group	No. 123

Geometry as POSCAR:
```
CrCoH4
1.0
-1.649 2.008 1.312
0.508 -1.263 2.573
3.313 2.384 0.516
Cr Co H
1 1 4
Direct
0.501 0.497 0.998
0.001 0.997 0.498
0.501 0.997 0.260
0.501 0.997 0.737
0.001 0.497 0.737
0.001 0.497 0.260
```

# 12
This record from Alexandria describes NdCd4Hg2 after structural relaxation. The functional is PBE.

Computed properties:
formation energy from the elements	-15.4	kJ per mole of atoms
Fermi-level density of states	6.88	states/eV/cell
energy above the most stable polymorph in this dataset	13	meV/atom
calculated density	9.56	g cm⁻³
space group	No. 136

Geometry as POSCAR:
```
NdCd4Hg2
1.0
4.718 0.000 0.000
0.000 8.561 0.000
0.000 0.000 8.561
Hg Cd Nd
4 8 2
Direct
0.000 0.179 0.821
0.500 0.321 0.321
0.500 0.679 0.679
0.000 0.821 0.179
0.000 0.358 0.109
0.000 0.109 0.358
0.500 0.609 0.142
0.500 0.142 0.609
0.000 0.891 0.642
0.500 0.858 0.391
0.500 0.391 0.858
0.000 0.642 0.891
0.000 0.500 0.500
0.500 0.000 0.000
```

# 13
This record from Alexandria describes Pm8HC3I3 after structural relaxation. The functional is PBE.

Computed properties:
total energy	-81.65	eV per formula unit
Fermi-level density of states	10.57	states/eV/cell
calculated density	6.78	g cm⁻³
space group	No. 166

Geometry as POSCAR:
```
Pm8HC3I3
1.0
7.690 0.000 0.000
-3.845 6.659 -0.028
0.000 -4.413 7.562
C Pm I H
3 8 3 1
Direct
0.000 0.500 0.500
0.500 0.000 0.500
0.500 0.500 0.500
0.703 0.944 0.685
0.274 0.549 0.323
0.726 0.451 0.677
0.242 0.483 0.685
0.297 0.056 0.315
0.241 0.944 0.685
0.759 0.056 0.315
0.758 0.517 0.315
0.000 0.000 0.000
0.000 0.500 0.000
0.500 0.500 0.000
0.000 0.000 0.500
```

# 14
This record from Alexandria describes HoMg3Zn8 after structural relaxation. The functional is PBE.

Computed properties:
formation energy from the elements	-18.2	kJ per mole of atoms
Fermi-level density of states	5.47	states/eV/cell
energy above the most stable polymorph in this dataset	0	meV/atom
calculated density	6.07	g cm⁻³
space group	No. 156

Geometry as POSCAR:
```
HoMg3Zn8
1.0
-2.913 -2.725 -3.384
0.148 -1.395 5.039
-6.838 5.254 1.655
Mg Zn Ho
3 8 1
Direct
0.000 0.000 0.936
0.667 0.333 0.427
0.667 0.333 0.060
0.502 0.498 0.757
0.502 0.005 0.757
0.995 0.498 0.757
0.163 0.327 0.246
0.333 0.667 0.006
0.333 0.667 0.502
0.673 0.837 0.246
0.163 0.837 0.246
0.000 0.000 0.561
```

# 15
This record from Alexandria describes Li2La3Zn4 after structural relaxation. The functional is PBE.

Computed properties:
formation energy from the elements	-21.0	kJ per mole of atoms
Fermi-level density of states	7.48	states/eV/cell
calculated density	5.52	g cm⁻³
space group	No. 12

Geometry as POSCAR:
```
Li2La3Zn4
1.0
-2.785 2.615 -2.911
-5.630 0.463 1.840
-0.400 7.709 3.344
Zn Li La
4 2 3
Direct
0.726 0.608 0.940
0.943 0.723 0.391
0.057 0.277 0.609
0.274 0.392 0.060
0.621 0.047 0.712
0.379 0.953 0.288
0.665 0.343 0.328
0.000 0.000 0.000
0.335 0.657 0.672
```

# 16
This record from Alexandria describes Nd6AgRh after structural relaxation. The functional is PBE.

Computed properties:
formation energy from the elements	-7.1	kJ per mole of atoms
Fermi-level density of states	11.26	states/eV/cell
calculated density	6.45	g cm⁻³
space group	No. 2

Geometry as POSCAR:
```
Nd6AgRh
1.0
-1.221 -2.119 -6.484
5.138 -0.030 -4.662
2.854 -6.947 -1.962
Nd Ag Rh
6 1 1
Direct
0.232 0.945 0.246
0.579 0.232 0.246
0.944 0.579 0.246
0.421 0.768 0.754
0.768 0.055 0.754
0.056 0.421 0.754
0.500 0.500 0.500
0.000 0.000 0.000
```

# 17
This record from Alexandria describes La2ZrP3 after structural relaxation. The functional is PBE.

Computed properties:
formation energy from the elements	-133.7	kJ per mole of atoms
Fermi-level density of states	1.82	states/eV/cell
calculated density	5.26	g cm⁻³
space group	No. 139

Geometry as POSCAR:
```
La2ZrP3
1.0
9.034 0.802 -0.726
6.803 6.014 0.583
-7.638 -3.999 2.906
Zr P La
1 3 2
Direct
0.000 0.000 0.000
0.500 0.500 0.000
0.844 0.844 0.000
0.156 0.156 0.000
0.665 0.665 0.000
0.335 0.335 0.000
```

# 18
This record from Alexandria describes MgCoBr after structural relaxation. The functional is PBE.

Computed properties:
ΔE_f (raw)	0.09	eV/atom
Fermi-level density of states	0.37	states/eV/cell
energy above the most stable polymorph in this dataset	570	meV/atom
calculated density	4.58	g cm⁻³
space group	No. 156

Geometry as POSCAR:
```
MgCoBr
1.0
3.435 0.000 0.000
-1.718 2.975 0.000
0.000 0.000 5.784
Br Mg Co
1 1 1
Direct
0.000 0.000 0.043
0.333 0.667 0.638
0.667 0.333 0.320
```

# 19
This record from Alexandria describes DyY3Pt after structural relaxation. The functional is PBE.

Computed properties:
formation energy from the elements	-45.6	kJ per mole of atoms
Fermi-level density of states	14.13	states/eV/cell
energy above the most stable polymorph in this dataset	65	meV/atom
calculated density	7.22	g cm⁻³
space group	No. 11

Geometry as POSCAR:
```
DyY3Pt
1.0
5.139 0.000 0.000
0.000 6.400 0.385
0.000 0.518 8.762
Y Dy Pt
6 2 2
Direct
0.876 0.498 0.472
0.376 0.403 0.210
0.376 0.855 0.430
0.876 0.950 0.692
0.376 0.891 0.008
0.876 0.462 0.894
0.376 0.288 0.667
0.876 0.065 0.234
0.376 0.707 0.739
0.876 0.645 0.163
```

# 20
This record from Alexandria describes LaHo8Cd6 after structural relaxation. The functional is PBE.

Computed properties:
formation energy from the elements	-5.5	kJ per mole of atoms
Fermi-level density of states	18.24	states/eV/cell
calculated density	7.91	g cm⁻³
space group	No. 148

Geometry as POSCAR:
```
LaHo8Cd6
1.0
-1.271 0.364 8.927
0.801 -7.482 4.980
6.016 -1.160 5.465
Cd Ho La
6 8 1
Direct
0.603 0.947 0.159
0.397 0.053 0.841
0.709 0.397 0.841
0.291 0.603 0.159
0.947 0.291 0.159
0.053 0.709 0.841
0.120 0.442 0.651
0.332 0.332 0.005
0.213 0.880 0.349
0.880 0.558 0.349
0.558 0.213 0.349
0.442 0.787 0.651
0.668 0.668 0.995
0.787 0.120 0.651
0.000 0.000 0.000
```

# 21
This record from Alexandria describes CsCd2GaAu after structural relaxation. The functional is PBE.

Computed properties:
formation energy from the elements	-5.8	kJ per mole of atoms
Fermi-level density of states	2.10	states/eV/cell
energy above the most stable polymorph in this dataset	0	meV/atom
calculated density	6.59	g cm⁻³
space group	No. 123

Geometry as POSCAR:
```
CsCd2GaAu
1.0
5.486 0.000 0.000
0.000 5.486 0.000
0.000 0.000 5.224
Au Cd Cs Ga
1 2 1 1
Direct
0.000 0.000 0.000
0.500 0.000 0.000
0.000 0.500 0.000
0.500 0.500 0.500
0.000 0.000 0.500
```

# 22
This record from Alexandria describes TiSn2Pd9 after structural relaxation. The functional is PBE.

Computed properties:
formation energy from the elements	-53.5	kJ per mole of atoms
Fermi-level density of states	1.91	states/eV/cell
calculated density	10.73	g cm⁻³
space group	No. 123

Geometry as POSCAR:
```
TiSn2Pd9
1.0
-2.159 -3.369 0.169
2.869 -1.940 -2.011
5.312 -2.884 10.361
Pd Sn Ti
9 2 1
Direct
0.000 0.500 0.158
0.000 0.500 0.842
0.500 0.000 0.158
0.500 0.500 0.000
0.500 0.500 0.330
0.500 0.000 0.842
0.000 0.500 0.500
0.500 0.500 0.670
0.500 0.000 0.500
0.000 0.000 0.669
0.000 0.000 0.331
0.000 0.000 0.000
```